## LiCaSi2 (GGA-PBE)

Data for an optimized crystal structure of LiCaSi2.

Cell: 3.084 3.861 6.266 Å, 90.00 90.00 90.00°
Positions (direct):
1 Li 0.000 0.000 0.000
2 Ca 0.000 0.000 0.500
3 Si 0.500 0.500 0.188
4 Si 0.500 0.500 0.812

=====

## LiCaSi2 (GGA-PBE)

Data for an optimized crystal structure of LiCaSi2.

Cell: 3.400 3.400 7.002 Å, 90.00 90.00 90.00°
Positions (direct):
1 Li 0.000 0.000 0.000
2 Ca 0.500 0.500 0.647
3 Si 0.000 0.000 0.355
4 Si 0.500 0.500 0.218

=====

How do the records compare in ΔE to the lowest computed polymorph? In the order shown, they have 203.9 376.3 meV/atom.
How do the records compare in size of the total moment? In the order shown, they have 0.0 0.0 μB/cell.
How do the records compare in energy relative to the elements, uncorrected? In the order shown, they have -0.20 -0.03 eV per atom.